A relaxed structure of CeRh2S4. Source: Alexandria via LeMat-Bulk, functional PBE-GGA.

The structure belongs to space group Cmcm (No. 63); the cell edges are 3.885, 11.370 and 11.482 Å and the angles 90.00°, 90.00° and 90.00°. The inequivalent atoms are Ce at (0.000, 0.131, 0.250), Rh at (0.000, 0.362, 0.071), S at (0.000, 0.000, 0.000), S at (0.000, 0.257, 0.607) and S at (0.000, 0.460, 0.250).

Its calculated volume is 507.2 Å³ per cell. Its raw total energy is -173.849 eV/cell. The uncorrected formation energy is -0.902 eV per atom.